{
  "formula": "TlCd2In2",
  "functional": "SCAN",
  "state": "single point on PBEsol structure",
  "lattice_angstrom": [[8.669, 0.000, 0.000], [0.000, 8.669, 0.000], [0.000, 0.000, 3.327]],
  "species": ["Tl", "Tl", "Cd", "Cd", "Cd", "Cd", "In", "In", "In", "In"],
  "fractional_positions": [[0.000, 0.000, 0.000], [0.500, 0.500, 0.000], [0.165, 0.335, 0.500], [0.335, 0.835, 0.500], [0.665, 0.165, 0.500], [0.835, 0.665, 0.500], [0.133, 0.633, 0.000], [0.367, 0.133, 0.000], [0.633, 0.867, 0.000], [0.867, 0.367, 0.000]],
  "energy_ev_per_atom": -39.906,
  "delta_e_f_ev_per_atom": 0.086,
  "dos_at_fermi_per_ev_cell": 4.6,
  "relative_energy_mev_per_atom": 32
}

---

{
  "formula": "BaSrAl2",
  "functional": "SCAN",
  "state": "single point on PBEsol structure",
  "lattice_angstrom": [[4.658, 0.000, 0.000], [0.000, 2.123, 6.753], [0.000, -2.123, 6.753]],
  "species": ["Ba", "Sr", "Al", "Al"],
  "fractional_positions": [[0.000, 0.000, 0.000], [0.500, 0.299, 0.299], [0.000, 0.712, 0.712], [0.500, 0.604, 0.604]],
  "energy_ev_per_atom": -19.481,
  "delta_e_f_ev_per_atom": -0.149,
  "dos_at_fermi_per_ev_cell": 2.5,
  "relative_energy_mev_per_atom": 0
}

---

{
  "formula": "MnInW",
  "functional": "SCAN",
  "state": "single point on PBEsol structure",
  "lattice_angstrom": [[2.945, 0.000, 0.000], [-1.472, 2.550, 0.000], [0.000, 0.000, 6.478]],
  "species": ["Mn", "In", "W"],
  "fractional_positions": [[0.000, 0.000, 0.000], [0.333, 0.667, 0.348], [0.667, 0.333, 0.730]],
  "energy_ev_per_atom": -40.020,
  "delta_e_f_ev_per_atom": 0.423,
  "dos_at_fermi_per_ev_cell": 1.3
}

---

{
  "formula": "LaGa2Ru2",
  "functional": "SCAN",
  "state": "single point on PBEsol structure",
  "lattice_angstrom": [[-2.140, 2.140, 5.046], [2.140, -2.140, 5.046], [2.140, 2.140, -5.046]],
  "species": ["La", "Ga", "Ga", "Ru", "Ru"],
  "fractional_positions": [[0.000, 0.000, 0.000], [0.250, 0.750, 0.500], [0.750, 0.250, 0.500], [0.384, 0.384, 0.000], [0.616, 0.616, 0.000]],
  "energy_ev_per_atom": -29.570,
  "delta_e_f_ev_per_atom": -0.480,
  "dos_at_fermi_per_ev_cell": 4.0
}